(1)
A relaxed structure of Ta4W2S3N3, computed with GGA-PBE.

Cell lengths 9.5709, 5.6018, 12.5757 Å; angles 90.00, 108.67, 90.00 degrees
Closest atoms and distances in Å follow each position.
Space group C2/c (No. 15)
Asymmetric unit:
Ta: 0.1125 0.0687 0.0889 (multiplicity 8)  3 N 2.19-2.23
Ta: 0.2259 0.0719 0.4006 (multiplicity 8)  2 N 2.15-2.16
W: 0.0698 0.4875 0.8870 (multiplicity 8)  3 N 2.11-2.28
S: 0.0000 0.1217 0.7500 (multiplicity 4)  4 Ta 2.61-2.79, 2 W 2.62
S: 0.1712 0.3761 0.2409 (multiplicity 8)  2 W 2.46-2.47, 4 Ta 2.50-2.68
N: 0.0530 0.2955 0.5287 (multiplicity 8)  2 W 2.11-2.21, 3 Ta 2.15-2.19
N: 0.2500 0.2500 0.0000 (multiplicity 4)  4 Ta 2.16-2.23, 2 W 2.28

calculated density: 12.79 g cm⁻³
calculated volume: 13.3 Å³/atom
spin magnetization: 0.0 μB per formula unit
raw total energy: -9.674 eV/atom

---

(2)
A relaxed structure of Zr2Ta4S3N3, computed with GGA-PBE.

Cell lengths 9.9432, 5.7513, 12.1851 Å; angles 90.00, 105.82, 90.00 degrees
Closest atoms and distances in Å follow each position.
Space group C2/c (No. 15)
Asymmetric unit:
Zr: 0.0505 0.0865 0.3929 (multiplicity 8)  3 N 2.26-2.28
Ta: 0.1130 0.4229 0.5893 (multiplicity 8)  3 N 2.19-2.20
Ta: 0.2159 0.4149 0.9110 (multiplicity 8)  3 N 2.18-2.20
S: 0.0000 0.4408 0.2500 (multiplicity 4)  4 Ta 2.62-2.63, 2 Zr 2.64
S: 0.1778 0.0959 0.7484 (multiplicity 8)  4 Ta 2.64-2.66, 2 Zr 2.65-2.66
N: 0.0814 0.2424 0.0006 (multiplicity 8)  4 Ta 2.18-2.20, 2 Zr 2.27-2.28
N: 0.2500 0.2500 0.5000 (multiplicity 4)  4 Ta 2.19-2.20, 2 Zr 2.26

calculated density: 10.35 g cm⁻³
calculated volume: 14.0 Å³/atom
spin magnetization: 0.0 μB per formula unit
raw total energy: -9.481 eV/atom